An optimized crystal structure of BeP2Pt, computed with GGA-PBE.

```
BeP2Pt
1.0
2.822 0.000 0.000
0.000 2.822 0.000
0.000 0.000 6.695
Be P Pt
1 2 1
direct
0.000 0.000 0.000
0.500 0.500 0.223
0.500 0.500 0.777
0.000 0.000 0.500
```

Output
Electronic total energy (eV per atom): -4.838
Formation enthalpy at 0 K (meV/atom): 309.0
M_tot (μB/f.u.): 0.00